[1]
Computed, not measured: BaB2PI after structural relaxation at the PBE-GGA level of DFT.

## Properties
- formation energy (no corrections) (eV/atom) = 2.2121
- symmetry = P4/mmm
- volume (Å³/cell) = 200.1
- total DFT energy (no corrections) (eV per atom) = -2.235

Cell lengths 5.7858, 5.7858, 5.9763 Å; angles 90.00, 90.00, 90.00 degrees
With the nearest neighbours (Å) after each atom.
Atoms (fractional coordinates):
Ba (0.0000, 0.0000, 0.0000)  4 B 2.89, 2 P 2.99
B (0.0000, 0.5000, 0.0000)  2 Ba 2.89
B (0.5000, 0.0000, 0.0000)  2 Ba 2.89
P (0.0000, 0.0000, 0.5000)  2 Ba 2.99
I (0.5000, 0.5000, 0.5000)  4 P 4.09, 8 B 4.16

***

[2]
Computed, not measured: Ba2BPtI after structural relaxation at the PBE-GGA level of DFT.

## Properties
- formation energy (no corrections) (eV/atom) = -0.7495
- symmetry = P4/mmm
- volume (Å³/cell) = 153.8
- total DFT energy (no corrections) (eV per atom) = -4.372

Cell lengths 6.1259, 6.1259, 4.0973 Å; angles 90.00, 90.00, 90.00 degrees
With the nearest neighbours (Å) after each atom.
Atoms (fractional coordinates):
Ba (0.0000, 0.5000, 0.0000)  2 B 3.06
Ba (0.5000, 0.0000, 0.0000)  2 B 3.06
B (0.0000, 0.0000, 0.0000)  2 Pt 2.05
Pt (0.0000, 0.0000, 0.5000)  2 B 2.05
I (0.5000, 0.5000, 0.5000)  8 Ba 3.68, 2 I 4.10

***

[3]
Computed, not measured: BaSc2BI after structural relaxation at the PBE-GGA level of DFT.

## Properties
- formation energy (no corrections) (eV/atom) = 1.9299
- symmetry = P4/mmm
- volume (Å³/cell) = 209.6
- total DFT energy (no corrections) (eV per atom) = -2.633

Cell lengths 5.7926, 5.7926, 6.2463 Å; angles 90.00, 90.00, 90.00 degrees
With the nearest neighbours (Å) after each atom.
Atoms (fractional coordinates):
Ba (0.0000, 0.0000, 0.0000)  4 Sc 2.90, 2 I 3.12
Sc (0.0000, 0.5000, 0.0000)  2 Ba 2.90
Sc (0.5000, 0.0000, 0.0000)  2 Ba 2.90
B (0.5000, 0.5000, 0.5000)  4 I 4.10, 8 Sc 4.26
I (0.0000, 0.0000, 0.5000)  2 Ba 3.12

***

[4]
Computed, not measured: Ba2ScBI after structural relaxation at the PBE-GGA level of DFT.

## Properties
- formation energy (no corrections) (eV/atom) = 0.8774
- symmetry = P4/mmm
- volume (Å³/cell) = 224.0
- total DFT energy (no corrections) (eV per atom) = -2.804

Cell lengths 6.4995, 6.4995, 5.3032 Å; angles 90.00, 90.00, 90.00 degrees
With the nearest neighbours (Å) after each atom.
Atoms (fractional coordinates):
Ba (0.0000, 0.5000, 0.0000)  2 I 3.25
Ba (0.5000, 0.0000, 0.0000)  2 I 3.25
Sc (0.0000, 0.0000, 0.5000)  2 I 2.65
B (0.5000, 0.5000, 0.5000)  8 Ba 4.19, 4 Sc 4.60
I (0.0000, 0.0000, 0.0000)  2 Sc 2.65